Density functional theory data (PBE) for an optimized crystal structure of KHf2MgCr.

Summary:
M_tot	0.01	μB per atom
V	30.0	Å³/atom
energy of formation from the pure elements	2215	meV/atom

Structure (CIF):
```
data_KHf2MgCr
_chemical_formula_sum 'K1 Hf2 Mg1 Cr1'
_symmetry_space_group_name_H-M 'P 4/m m m'
_symmetry_Int_Tables_number 123
_symmetry_space_group_name_Hall '-P 4 2'
_cell_length_a 5.302
_cell_length_b 5.302
_cell_length_c 5.337
_cell_angle_alpha 90.00
_cell_angle_beta 90.00
_cell_angle_gamma 90.00
loop_
_atom_site_label
_atom_site_fract_x
_atom_site_fract_y
_atom_site_fract_z
K1 0.000 0.000 0.000
Hf1 0.000 0.500 0.500
Mg1 0.000 0.000 0.500
Cr1 0.500 0.500 0.000
```